Density functional theory data (PBE) for a relaxed structure of Ho2TlAg.

a b c (Å): 5.240 5.240 5.240
angles (deg): 60.00 60.00 60.00
Fractional positions:
Ho1 0.250 0.250 0.250
Ho2 0.750 0.750 0.750
Tl1 0.000 0.000 0.000
Ag1 0.500 0.500 0.500

Its total energy is -3.93 eV per atom. The value obtained for the total moment is 0.0 Bohr magnetons per cell. Its energy above the lowest structure with this stoichiometry is 0 meV per atom. The calculation puts the energy of formation from the pure elements at -0.336 eV per atom. Its density of states at the Fermi level is 2.91 states/eV/f.u.